--- P ---
First-principles (GGA-PBE) data for a relaxed Tb2NdTm7 crystal, as listed in Alexandria via LeMat-Bulk.

Summary:
V (Å³ per cell): 687

```
data_Tb2NdTm7
_chemical_formula_sum 'Tb4 Nd2 Tm14'
_space_group_name_H-M_alt 'I m m m'
_space_group_IT_number 71
_space_group_name_Hall '-I 2 2'
_cell_length_a 5.4959
_cell_length_b 11.0577
_cell_length_c 11.3125
_cell_angle_alpha 90.00
_cell_angle_beta 90.00
_cell_angle_gamma 90.00
loop_
_atom_site_label
_atom_site_fract_x
_atom_site_fract_y
_atom_site_fract_z
Tb1 0.0000 0.0000 0.1611
Nd1 0.0000 0.5000 0.5000
Tm1 0.0000 0.0000 0.5000
Tm2 0.0000 0.2461 0.3484
Tm3 0.0000 0.5000 0.1638
```

--- Q ---
First-principles (GGA-PBE) data for a relaxed Tb2NdTm7 crystal, as listed in Alexandria via LeMat-Bulk.

Summary:
V (Å³ per cell): 769

```
data_Tb2NdTm7
_chemical_formula_sum 'Tb4 Nd2 Tm14'
_space_group_name_H-M_alt 'C m m m'
_space_group_IT_number 65
_space_group_name_Hall '-C 2 2'
_cell_length_a 8.6337
_cell_length_b 16.3557
_cell_length_c 5.4467
_cell_angle_alpha 90.00
_cell_angle_beta 90.00
_cell_angle_gamma 90.00
loop_
_atom_site_label
_atom_site_fract_x
_atom_site_fract_y
_atom_site_fract_z
Tb1 0.0000 0.2021 0.0000
Nd1 0.0000 0.5000 0.5000
Tm1 0.0000 0.0000 0.0000
Tm2 0.0000 0.2921 0.5000
Tm3 0.1765 0.3865 0.0000
```

P wins, 305 meV/atom ahead of the next structure.